Density functional theory data (GGA+U) for LaMgTiFeO6 after structural relaxation.

Computed properties:
The total magnetic moment comes out at 0.3040 μB per atom. The electronic total energy comes out at -7.5514 eV/atom.

abc: 5.2855 5.4820 9.3788
angles: 90.00 123.17 90.00
Closest atoms and distances in Å follow each position.
Sites, in units of the cell vectors:
1 La 0.0000 0.2114 0.0000  6 O 2.33-2.58
2 La 0.0000 0.7886 0.5000  6 O 2.33-2.58
3 Mg 0.5469 0.3057 0.5038  6 O 2.10-2.29
4 Mg 0.5469 0.6943 0.0038  6 O 2.10-2.29
5 Ti 0.2602 0.2578 0.7476  6 O 1.94-2.05
6 Ti 0.2602 0.7422 0.2476  6 O 1.94-2.05
7 Fe 0.7579 0.2483 0.2511  5 O 1.92-2.11
8 Fe 0.7579 0.7517 0.7511  5 O 1.92-2.11
9 O 0.1698 0.2318 0.5168  1 Ti 1.95, 1 Mg 2.10
10 O 0.1698 0.7682 0.0168  1 Ti 1.95, 1 Mg 2.10
11 O 0.4226 0.2906 0.9902  1 Ti 1.95, 1 Fe 2.11
12 O 0.4226 0.7094 0.4902  1 Ti 1.95, 1 Fe 2.11
13 O 0.5252 0.0485 0.3154  1 Fe 1.97, 1 Ti 2.05
14 O 0.5252 0.9515 0.8154  1 Fe 1.97, 1 Ti 2.05
15 O 0.5924 0.4874 0.8097  1 Fe 1.92, 1 Ti 1.97
16 O 0.5924 0.5126 0.3097  1 Fe 1.92, 1 Ti 1.97
17 O 0.9057 0.0491 0.6958  1 Fe 2.00, 1 Ti 2.01
18 O 0.9057 0.9509 0.1958  1 Fe 2.00, 1 Ti 2.01
19 O 0.9699 0.4823 0.1911  1 Ti 1.94, 1 Fe 1.98
20 O 0.9699 0.5177 0.6911  1 Ti 1.94, 1 Fe 1.98